1.
Here is a geometry-optimized ZnGeSe2 structure from the Alexandria database. Energies are from GGA-PBE.

Lattice parameters (Å, degrees): 6.272 6.378 6.659 113.67 90.35 119.43
Fractional coordinates of all 8 atoms:
Zn (0.000, 0.000, 0.000)
Zn (0.261, 0.524, 0.971)
Ge (0.524, 0.070, 0.648)
Ge (0.719, 0.453, 0.321)
Se (0.133, 0.466, 0.307)
Se (0.375, 0.954, 0.973)
Se (0.683, 0.570, 0.997)
Se (0.926, 0.059, 0.664)

Space group: P1 (1)

---

2.
Here is a geometry-optimized Pb5Cl structure from the Alexandria database. Energies are from GGA-PBE.

Lattice parameters (Å, degrees): 6.052 6.052 5.689 90.00 90.00 120.00
Fractional coordinates of all 6 atoms:
Pb (0.000, 0.662, 0.000)
Pb (0.333, 0.667, 0.500)
Pb (0.338, 0.338, 0.000)
Pb (0.662, 0.000, 0.000)
Pb (0.667, 0.333, 0.500)
Cl (0.000, 0.000, 0.500)

Space group: P-62m (189)

---

In the order shown, the computed uncorrected formation energy values come out to -0.366 -0.138 eV per atom.